This record from Alexandria via LeMat-Bulk describes crystalline InSb3C at its relaxed geometry. The functional is GGA-PBE.

The structure in POSCAR format:
```
InSb3C
1.0
5.628 0.000 0.000
0.000 5.628 0.000
0.000 0.000 5.628
Sb C In
3 1 1
Direct
0.000 0.500 0.000
0.000 0.000 0.500
0.500 0.000 0.000
0.500 0.500 0.500
0.000 0.000 0.000
```

Values from the calculation:
Space group: No. 221
Distance to the lowest polymorph of the same formula in meV/atom: 1260
Total moment in Bohr magnetons per cell: 1.70
E_form (uncorrected) in eV/atom: 2.129
DOS(E_F) in states/eV per atom: 1.75